The following is a PBE calculation of a relaxed CoOsPt2 crystal, from Alexandria.

## Properties
Relative energy among the computed polymorphs   233 meV/atom
Volume   117.2 Å³ per cell
Magnetic moment   4.12 μB/cell
E_form   0.247 eV per atom

a b c (Å): 2.7126 4.6631 9.2675
angles (deg): 90.00 90.00 90.00
Space group Cmm2 (No. 35)
Asymmetric unit:
Co 0.0000 0.0000 0.0000 x2
Os 0.0000 0.5000 0.2247 x2
Pt 0.0000 0.0000 0.4873 x2
Pt 0.0000 0.5000 0.7593 x2